# 1
A relaxed Ba3Ta4TiO15 crystal. Source: Alexandria, functional PBEsol.

Output
As for the density of states at the Fermi level: 0.00 states/eV per atom. The value obtained for the energy relative to the lowest polymorph listed for this composition is 0.00 eV per formula unit. The space group is No. 7.

Cell: 3.971 12.554 12.609 Å, 90.00 90.00 90.15°
Element x y z (fractional)
1 Ta 0.800 0.426 0.038
2 Ta 0.786 0.002 0.250
3 Ta 0.801 0.078 0.537
4 Ta 0.801 0.578 0.463
5 Ta 0.800 0.926 0.962
6 Ta 0.786 0.502 0.750
7 Ta 0.799 0.714 0.174
8 Ta 0.799 0.214 0.826
9 O 0.303 0.918 0.958
10 O 0.806 0.342 0.741
11 O 0.803 0.065 0.888
12 O 0.806 0.509 0.906
13 O 0.804 0.854 0.822
14 O 0.803 0.993 0.407
15 O 0.804 0.354 0.178
16 O 0.803 0.282 0.966
17 O 0.803 0.565 0.112
18 O 0.803 0.217 0.469
19 O 0.315 0.791 0.673
20 O 0.804 0.137 0.682
21 O 0.807 0.429 0.393
22 O 0.303 0.418 0.042
23 O 0.303 0.704 0.172
24 O 0.808 0.655 0.750
25 O 0.808 0.155 0.250
26 O 0.301 0.998 0.251
27 O 0.806 0.009 0.094
28 O 0.315 0.291 0.327
29 O 0.806 0.842 0.259
30 O 0.807 0.929 0.607
31 O 0.303 0.075 0.542
32 O 0.803 0.717 0.531
33 O 0.803 0.782 0.034
34 O 0.301 0.498 0.749
35 O 0.303 0.575 0.458
36 O 0.303 0.204 0.828
37 O 0.803 0.493 0.593
38 O 0.804 0.637 0.318
39 Ba 0.294 0.839 0.436
40 Ba 0.298 0.494 0.252
41 Ba 0.295 0.691 0.898
42 Ba 0.294 0.339 0.564
43 Ba 0.298 0.994 0.748
44 Ba 0.295 0.191 0.102
45 Ti 0.766 0.286 0.329
46 Ti 0.766 0.786 0.671

---

# 2
A relaxed Na3TaHg crystal. Source: Alexandria, functional PBEsol.

Output
The formation energy is 6.5 eV per formula unit. As for the density of states at the Fermi level: 1.20 states/eV per atom. The space group is No. 221.

Cell: 5.427 5.427 5.427 Å, 90.00 90.00 90.00°
Element x y z (fractional)
1 Na 0.000 0.500 0.000
2 Na 0.500 0.000 0.000
3 Na 0.000 0.000 0.500
4 Hg 0.000 0.000 0.000
5 Ta 0.500 0.500 0.500

---

# 3
A relaxed RbScNO2 crystal. Source: Alexandria, functional PBEsol.

Output
As for the density of states at the Fermi level: 0.34 states/eV per atom. The value obtained for the electronic total energy is -6.421 eV per atom. The space group is No. 123.

Cell: 4.151 4.151 4.477 Å, 90.00 90.00 90.00°
Element x y z (fractional)
1 N 0.000 0.000 0.500
2 Rb 0.500 0.500 0.500
3 O 0.500 0.000 0.000
4 O 0.000 0.500 0.000
5 Sc 0.000 0.000 0.000

---

# 4
A relaxed ZnSiRh2 crystal. Source: Alexandria, functional PBEsol.

Output
As for the density of states at the Fermi level: 0.32 states/eV per atom. The value obtained for the energy relative to the lowest polymorph listed for this composition is 0.12 eV per formula unit. The space group is No. 225.

Cell: 4.153 4.153 4.153 Å, 60.00 60.00 60.00°
Element x y z (fractional)
1 Rh 0.250 0.250 0.250
2 Rh 0.750 0.750 0.750
3 Zn 0.000 0.000 0.000
4 Si 0.500 0.500 0.500

---

# 5
A relaxed BeRePt3 crystal. Source: Alexandria, functional PBEsol.

Output
The formation energy is 2.9 eV per formula unit. As for the density of states at the Fermi level: 1.43 states/eV per atom. The space group is No. 221.

Cell: 4.157 4.157 4.157 Å, 90.00 90.00 90.00°
Element x y z (fractional)
1 Re 0.500 0.500 0.500
2 Be 0.000 0.000 0.000
3 Pt 0.500 0.000 0.000
4 Pt 0.000 0.500 0.000
5 Pt 0.000 0.000 0.500

---

# 6
A relaxed Sr2Zn crystal. Source: Alexandria, functional PBEsol.

Output
The formation energy is -0.3 eV per formula unit. As for the density of states at the Fermi level: 0.94 states/eV per atom. The space group is No. 12.

Cell: 4.281 7.397 7.870 Å, 74.48 74.22 73.18°
Element x y z (fractional)
1 Zn 0.892 0.052 0.163
2 Zn 0.108 0.948 0.837
3 Sr 0.176 0.231 0.417
4 Sr 0.416 0.289 0.880
5 Sr 0.584 0.711 0.120
6 Sr 0.824 0.769 0.583

---

# 7
A relaxed TcOs crystal. Source: Alexandria, functional PBEsol.

Output
The formation energy is -0.2 eV per formula unit. As for the density of states at the Fermi level: 0.76 states/eV per atom. The value obtained for the energy relative to the lowest polymorph listed for this composition is 0.04 eV per formula unit. The space group is No. 59.

Cell: 2.729 4.321 4.722 Å, 90.00 90.00 90.00°
Element x y z (fractional)
1 Os 0.000 0.000 0.583
2 Os 0.500 0.500 0.417
3 Tc 0.500 0.000 0.083
4 Tc 0.000 0.500 0.917

---

# 8
A relaxed ZnTe3 crystal. Source: Alexandria, functional PBEsol.

Output
As for the density of states at the Fermi level: 0.57 states/eV per atom. The value obtained for the electronic total energy is -2.926 eV per atom. The space group is No. 71.

Cell: 3.886 4.013 7.737 Å, 105.03 104.55 90.00°
Element x y z (fractional)
1 Te 0.712 0.712 0.423
2 Te 0.500 0.000 0.000
3 Te 0.288 0.288 0.577
4 Zn 0.000 0.500 0.000

---

# 9
A relaxed Li2GePb crystal. Source: Alexandria, functional PBEsol.

Output
The formation energy is -0.9 eV per formula unit. As for the density of states at the Fermi level: 0.26 states/eV per atom. The space group is No. 225.

Cell: 4.699 4.699 4.699 Å, 60.00 60.00 60.00°
Element x y z (fractional)
1 Li 0.250 0.250 0.250
2 Li 0.750 0.750 0.750
3 Pb 0.500 0.500 0.500
4 Ge 0.000 0.000 0.000

---

# 10
A relaxed Tc3Mo4 crystal. Source: Alexandria, functional PBEsol.

Output
The formation energy is 0.7 eV per formula unit. As for the density of states at the Fermi level: 0.90 states/eV per atom. The space group is No. 139.

Cell: 3.094 3.094 11.041 Å, 98.05 98.05 90.00°
Element x y z (fractional)
1 Tc 0.288 0.288 0.576
2 Tc 0.000 0.000 0.000
3 Tc 0.712 0.712 0.424
4 Mo 0.144 0.144 0.287
5 Mo 0.856 0.856 0.713
6 Mo 0.428 0.428 0.855
7 Mo 0.572 0.572 0.145

---

# 11
A relaxed CaP4O11 crystal. Source: Alexandria, functional PBEsol.

Output
As for the density of states at the Fermi level: 0.00 states/eV per atom. The value obtained for the electronic total energy is -7.509 eV per atom. The space group is No. 64.

Cell: 8.806 8.806 12.765 Å, 90.00 90.00 92.45°
Element x y z (fractional)
1 P 0.322 0.678 0.500
2 P 0.888 0.235 0.338
3 P 0.678 0.322 0.500
4 P 0.265 0.612 0.838
5 P 0.178 0.822 0.000
6 P 0.096 0.096 0.712
7 P 0.735 0.388 0.162
8 P 0.235 0.888 0.338
9 P 0.404 0.404 0.212
10 P 0.112 0.765 0.662
11 P 0.822 0.178 0.000
12 P 0.765 0.112 0.662
13 P 0.904 0.904 0.288
14 P 0.596 0.596 0.788
15 P 0.388 0.735 0.162
16 P 0.612 0.265 0.838
17 O 0.264 0.785 0.597
18 O 0.236 0.715 0.097
19 O 0.482 0.729 0.479
20 O 0.363 0.363 0.103
21 O 0.736 0.215 0.403
22 O 0.729 0.482 0.479
23 O 0.764 0.285 0.903
24 O 0.109 0.913 0.729
25 O 0.332 0.332 0.305
26 O 0.476 0.223 0.899
27 O 0.637 0.637 0.897
28 O 0.215 0.736 0.403
29 O 0.391 0.587 0.229
30 O 0.518 0.271 0.521
31 O 0.277 0.024 0.399
32 O 0.018 0.771 0.979
33 O 0.024 0.277 0.399
34 O 0.271 0.518 0.521
35 O 0.891 0.087 0.271
36 O 0.223 0.476 0.899
37 O 0.976 0.723 0.601
38 O 0.777 0.524 0.101
39 O 0.832 0.832 0.195
40 O 0.668 0.668 0.695
41 O 0.587 0.391 0.229
42 O 0.641 0.141 0.750
43 O 0.141 0.641 0.750
44 O 0.982 0.229 0.021
45 O 0.168 0.168 0.805
46 O 0.229 0.982 0.021
47 O 0.285 0.764 0.903
48 O 0.863 0.863 0.397
49 O 0.913 0.109 0.729
50 O 0.771 0.018 0.979
51 O 0.137 0.137 0.603
52 O 0.715 0.236 0.097
53 O 0.413 0.609 0.771
54 O 0.609 0.413 0.771
55 O 0.859 0.359 0.250
56 O 0.524 0.777 0.101
57 O 0.723 0.976 0.601
58 O 0.785 0.264 0.597
59 O 0.359 0.859 0.250
60 O 0.087 0.891 0.271
61 Ca 0.734 0.734 0.529
62 Ca 0.234 0.234 0.971
63 Ca 0.766 0.766 0.029
64 Ca 0.266 0.266 0.471

---

# 12
A relaxed AlCr2Re crystal. Source: Alexandria, functional PBEsol.

Output
The formation energy is -0.5 eV per formula unit. As for the density of states at the Fermi level: 0.84 states/eV per atom. The space group is No. 44.

Cell: 2.950 4.169 4.836 Å, 115.54 107.76 90.00°
Element x y z (fractional)
1 Cr 0.014 0.014 0.028
2 Cr 0.742 0.242 0.485
3 Al 0.255 0.755 0.510
4 Re 0.489 0.489 0.977

---

Copy entry 9 word for word.
A relaxed Li2GePb crystal. Source: Alexandria, functional PBEsol.

Output
The formation energy is -0.9 eV per formula unit. As for the density of states at the Fermi level: 0.26 states/eV per atom. The space group is No. 225.

Cell: 4.699 4.699 4.699 Å, 60.00 60.00 60.00°
Element x y z (fractional)
1 Li 0.250 0.250 0.250
2 Li 0.750 0.750 0.750
3 Pb 0.500 0.500 0.500
4 Ge 0.000 0.000 0.000

---

Repeat the eighth record exactly.
A relaxed ZnTe3 crystal. Source: Alexandria, functional PBEsol.

Output
As for the density of states at the Fermi level: 0.57 states/eV per atom. The value obtained for the electronic total energy is -2.926 eV per atom. The space group is No. 71.

Cell: 3.886 4.013 7.737 Å, 105.03 104.55 90.00°
Element x y z (fractional)
1 Te 0.712 0.712 0.423
2 Te 0.500 0.000 0.000
3 Te 0.288 0.288 0.577
4 Zn 0.000 0.500 0.000